1.
Below is crystalline Ba5Tl2H at its relaxed geometry, with properties calculated at the GGA-PBE level.

Results
- VASP energy (eV/atom) = -2.436
- density of states at the Fermi level (states/eV/f.u.) = 7.009
- symmetry = P1, No. 1
- total magnetic moment (μB/cell) = 0.00
- V (Å³ per atom) = 40.0

Lattice parameters (Å, degrees): 7.5889 7.5895 7.5996 115.93 119.12 94.24
Last column: nearest neighbours and their distance in Å.
Sites, in units of the cell vectors:
1 Ba 0.0000 0.0000 0.0000  1 H 2.76
2 Ba 0.0005 0.4619 0.4626  1 H 2.75
3 Ba 0.3705 0.3695 0.0008  1 H 2.75
4 Ba 0.3698 0.8324 0.4617  1 H 2.76
5 Ba 0.7346 0.4166 0.7813  1 H 2.78
6 Tl 0.4838 0.9136 0.0290  1 Tl 3.11
7 Tl 0.8890 0.9177 0.4356  1 Tl 3.11
8 H 0.0957 0.4164 0.1423  5 Ba 2.75-2.78

2.
Below is crystalline Ba3TlH at its relaxed geometry, with properties calculated at the GGA-PBE level.

Results
- VASP energy (eV/atom) = -2.611
- density of states at the Fermi level (states/eV/f.u.) = 4.575
- symmetry = Cmcm, No. 63
- total magnetic moment (μB/cell) = 0.00
- energy above the lowest structure with this stoichiometry (meV per atom) = 0
- V (Å³ per atom) = 41.2

Lattice parameters (Å, degrees): 8.1408 8.1408 11.4809 90.00 90.00 147.19
Last column: nearest neighbours and their distance in Å.
Sites, in units of the cell vectors:
1 Ba 0.0523 0.9477 0.7500  2 H 2.65
2 Ba 0.3573 0.6427 0.5722  1 H 2.67
3 Ba 0.3573 0.6427 0.9278  1 H 2.67
4 Ba 0.6427 0.3573 0.0722  1 H 2.67
5 Ba 0.6427 0.3573 0.4278  1 H 2.67
6 Ba 0.9477 0.0523 0.2500  2 H 2.65
7 Tl 0.2631 0.7369 0.2500  8 Ba 3.60-3.98
8 Tl 0.7369 0.2631 0.7500  8 Ba 3.60-3.98
9 H 0.4676 0.5324 0.7500  4 Ba 2.65-2.67
10 H 0.5324 0.4676 0.2500  4 Ba 2.65-2.67

3.
Below is crystalline BaTlH2 at its relaxed geometry, with properties calculated at the GGA-PBE level.

Results
- VASP energy (eV/atom) = -2.793
- density of states at the Fermi level (states/eV/f.u.) = 2.031
- symmetry = Fm-3m, No. 225
- total magnetic moment (μB/cell) = 0.00
- V (Å³ per atom) = 19.9

Lattice parameters (Å, degrees): 4.8297 4.8297 4.8297 60.00 60.00 60.00
Last column: nearest neighbours and their distance in Å.
Sites, in units of the cell vectors:
1 Ba 0.0000 0.0000 0.0000  8 H 2.96
2 Tl 0.5000 0.5000 0.5000  8 H 2.96
3 H 0.2500 0.2500 0.2500  4 Tl 2.96, 4 Ba 2.96
4 H 0.7500 0.7500 0.7500  4 Tl 2.96, 4 Ba 2.96

4.
Below is crystalline Ba3TlH at its relaxed geometry, with properties calculated at the GGA-PBE level.

Results
- VASP energy (eV/atom) = -2.562
- density of states at the Fermi level (states/eV/f.u.) = 1.379
- symmetry = Pm-3m, No. 221
- total magnetic moment (μB/cell) = 0.00
- energy above the lowest structure with this stoichiometry (meV per atom) = 49
- V (Å³ per atom) = 36.1

Lattice parameters (Å, degrees): 5.6528 5.6528 5.6528 90.00 90.00 90.00
Last column: nearest neighbours and their distance in Å.
Sites, in units of the cell vectors:
1 Ba 0.0000 0.0000 0.5000  2 H 2.83
2 Ba 0.0000 0.5000 0.0000  2 H 2.83
3 Ba 0.5000 0.0000 0.0000  2 H 2.83
4 Tl 0.5000 0.5000 0.5000  12 Ba 4.00
5 H 0.0000 0.0000 0.0000  6 Ba 2.83

5.
Below is crystalline Ba12Tl5H2 at its relaxed geometry, with properties calculated at the GGA-PBE level.

Results
- VASP energy (eV/atom) = -2.374
- density of states at the Fermi level (states/eV/f.u.) = 23.805
- symmetry = C2/m, No. 12
- total magnetic moment (μB/cell) = 0.12
- V (Å³ per atom) = 47.6

Lattice parameters (Å, degrees): 10.7117 10.7117 10.8127 102.73 102.73 48.76
Last column: nearest neighbours and their distance in Å.
Sites, in units of the cell vectors:
1 Ba 0.0065 0.0065 0.1945  2 H 3.00
2 Ba 0.0790 0.5701 0.8921  1 H 3.34, 3 Tl 3.47-3.61
3 Ba 0.1108 0.5949 0.4300  4 Tl 3.50-3.70
4 Ba 0.4051 0.8892 0.5700  4 Tl 3.50-3.70
5 Ba 0.4299 0.9210 0.1079  1 H 3.34, 3 Tl 3.47-3.61
6 Ba 0.4728 0.4728 0.1695  2 H 3.03
7 Ba 0.5272 0.5272 0.8305  2 H 3.03
8 Ba 0.5701 0.0790 0.8921  1 H 3.34, 3 Tl 3.47-3.61
9 Ba 0.5949 0.1108 0.4300  4 Tl 3.50-3.70
10 Ba 0.8892 0.4051 0.5700  4 Tl 3.50-3.70
11 Ba 0.9210 0.4299 0.1079  1 H 3.34, 3 Tl 3.47-3.61
12 Ba 0.9935 0.9935 0.8055  2 H 3.00
13 Tl 0.1728 0.1728 0.8459  7 Ba 3.42-3.69
14 Tl 0.1933 0.1933 0.3582  7 Ba 3.47-3.70
15 Tl 0.5000 0.5000 0.5000  6 Ba 3.48-3.51
16 Tl 0.8067 0.8067 0.6418  7 Ba 3.47-3.70
17 Tl 0.8272 0.8272 0.1541  7 Ba 3.42-3.69
18 H 0.2454 0.7546 0.0000  6 Ba 3.00-3.34
19 H 0.7546 0.2454 0.0000  6 Ba 3.00-3.34

6.
Below is crystalline Ba4TlH at its relaxed geometry, with properties calculated at the GGA-PBE level.

Results
- VASP energy (eV/atom) = -2.490
- density of states at the Fermi level (states/eV/f.u.) = 4.556
- symmetry = P2_1/m, No. 11
- total magnetic moment (μB/cell) = 0.00
- energy above the lowest structure with this stoichiometry (meV per atom) = 0
- V (Å³ per atom) = 43.3

Lattice parameters (Å, degrees): 5.8200 10.7980 8.2643 90.00 90.04 90.00
Last column: nearest neighbours and their distance in Å.
Sites, in units of the cell vectors:
1 Ba 0.2492 0.2500 0.0877  2 H 2.91
2 Ba 0.2502 0.5476 0.6938  1 H 2.77
3 Ba 0.2502 0.9524 0.6938  1 H 2.77
4 Ba 0.2508 0.7500 0.2421  1 H 2.83
5 Ba 0.7492 0.2500 0.7579  1 H 2.83
6 Ba 0.7498 0.0476 0.3062  1 H 2.77
7 Ba 0.7498 0.4524 0.3062  1 H 2.77
8 Ba 0.7508 0.7500 0.9123  2 H 2.91
9 Tl 0.2486 0.2500 0.4977  5 Ba 3.39-3.62
10 Tl 0.7514 0.7500 0.5023  5 Ba 3.39-3.62
11 H 0.2506 0.7500 0.9002  5 Ba 2.77-2.91
12 H 0.7494 0.2500 0.0998  5 Ba 2.77-2.91